i | LaCuOs2 | PBE | relaxed

Output
Its space group is Pm (6).

Lattice parameters (Å, degrees): 2.909 4.320 5.806 90.00 100.76 90.00
Fractional coordinates of all 4 atoms:
La  0.000  0.000  0.000
Cu  0.410  0.500  0.744
Os  0.383  0.000  0.488
Os  0.771  0.500  0.362

=====

ii | LaCuOs2 | PBE | relaxed

Output
Its space group is Cmmm (65).

Lattice parameters (Å, degrees): 3.125 4.768 9.025 90.00 90.00 90.00
Fractional coordinates of all 8 atoms:
La  0.000  0.000  0.000
La  0.500  0.500  0.000
Cu  0.000  0.000  0.500
Cu  0.500  0.500  0.500
Os  0.000  0.500  0.276
Os  0.000  0.500  0.724
Os  0.500  0.000  0.276
Os  0.500  0.000  0.724

=====

Stability ranking, top and bottom: i is the most stable and ii is the least stable.

=====

i | YSe2Br | PBE | relaxed

Output
Its space group is Cm (8).

Lattice parameters (Å, degrees): 14.125 3.848 4.837 90.00 97.84 90.00
Fractional coordinates of all 8 atoms:
Y  0.000  0.000  0.000
Y  0.500  0.500  0.000
Se  0.009  0.500  0.490
Se  0.141  0.500  0.219
Se  0.509  0.000  0.490
Se  0.641  0.000  0.219
Br  0.346  0.000  0.854
Br  0.846  0.500  0.854

=====

ii | YSe2Br | PBE | relaxed

Output
Its space group is Imm2 (44).

Lattice parameters (Å, degrees): 3.967 4.877 14.337 90.00 90.00 90.00
Fractional coordinates of all 8 atoms:
Y  0.000  0.000  0.000
Y  0.500  0.500  0.500
Se  0.000  0.000  0.435
Se  0.000  0.500  0.365
Se  0.500  0.000  0.865
Se  0.500  0.500  0.935
Br  0.000  0.500  0.644
Br  0.500  0.000  0.144

=====

Stability ranking, top and bottom: i is the most stable and ii is the least stable.

=====

i | Cr2FeAg | PBE | relaxed

Output
Its space group is P4/mmm (123).

Lattice parameters (Å, degrees): 3.644 3.644 3.917 90.00 90.00 90.00
Fractional coordinates of all 4 atoms:
Cr  0.000  0.500  0.000
Cr  0.500  0.000  0.000
Fe  0.000  0.000  0.500
Ag  0.500  0.500  0.500

=====

ii | Cr2FeAg | PBE | relaxed

Output
Its space group is I4/mmm (139).

Lattice parameters (Å, degrees): 3.677 3.677 7.686 90.00 90.00 90.00
Fractional coordinates of all 8 atoms:
Cr  0.000  0.500  0.250
Cr  0.000  0.500  0.750
Cr  0.500  0.000  0.250
Cr  0.500  0.000  0.750
Fe  0.000  0.000  0.000
Fe  0.500  0.500  0.500
Ag  0.000  0.000  0.500
Ag  0.500  0.500  0.000

=====

Stability ranking, top and bottom: i is the most stable and ii is the least stable.

=====

i | HgP | PBE | relaxed

Output
Its space group is Fddd (70).

Lattice parameters (Å, degrees): 8.807 8.388 5.259 76.60 67.89 35.52
Fractional coordinates of all 8 atoms:
Hg  0.063  0.687  0.063
Hg  0.313  0.937  0.313
Hg  0.687  0.063  0.687
Hg  0.937  0.313  0.937
P  0.242  0.242  0.508
P  0.492  0.492  0.758
P  0.508  0.508  0.242
P  0.758  0.758  0.492

=====

ii | HgP | PBE | relaxed

Output
Its space group is P1 (1).

Lattice parameters (Å, degrees): 3.303 3.303 10.705 97.40 91.08 119.89
Fractional coordinates of all 4 atoms:
Hg  0.000  0.000  0.000
Hg  0.246  0.437  0.701
P  0.467  0.925  0.409
P  0.759  0.522  0.292

=====

Stability ranking, top and bottom: ii is the most stable and i is the least stable.

=====

i | Tl2HgCl | PBE | relaxed

Output
Its space group is F-43m (216).

Lattice parameters (Å, degrees): 7.839 7.839 7.839 90.00 90.00 90.00
Fractional coordinates of all 16 atoms:
Tl  0.000  0.000  0.000
Tl  0.000  0.500  0.500
Tl  0.250  0.250  0.250
Tl  0.250  0.750  0.750
Tl  0.500  0.000  0.500
Tl  0.500  0.500  0.000
Tl  0.750  0.250  0.750
Tl  0.750  0.750  0.250
Hg  0.250  0.250  0.750
Hg  0.250  0.750  0.250
Hg  0.750  0.250  0.250
Hg  0.750  0.750  0.750
Cl  0.000  0.000  0.500
Cl  0.000  0.500  0.000
Cl  0.500  0.000  0.000
Cl  0.500  0.500  0.500

=====

ii | Tl2HgCl | PBE | relaxed

Output
Its space group is Cmmm (65).

Lattice parameters (Å, degrees): 4.467 5.879 9.220 90.00 90.00 90.00
Fractional coordinates of all 8 atoms:
Tl  0.000  0.000  0.234
Tl  0.000  0.000  0.766
Tl  0.500  0.500  0.234
Tl  0.500  0.500  0.766
Hg  0.000  0.500  0.500
Hg  0.500  0.000  0.500
Cl  0.000  0.500  0.000
Cl  0.500  0.000  0.000

=====

Stability ranking, top and bottom: ii is the most stable and i is the least stable.

=====

i | AgW | PBE | relaxed

Output
Its space group is Imma (74).

Lattice parameters (Å, degrees): 3.097 4.888 9.244 90.00 90.00 90.00
Fractional coordinates of all 8 atoms:
Ag  0.000  0.250  0.121
Ag  0.000  0.750  0.879
Ag  0.500  0.250  0.379
Ag  0.500  0.750  0.621
W  0.000  0.250  0.645
W  0.000  0.750  0.355
W  0.500  0.250  0.855
W  0.500  0.750  0.145

=====

ii | AgW | PBE | relaxed

Output
Its space group is R-3m (166).

Lattice parameters (Å, degrees): 2.790 2.790 14.889 90.00 90.00 120.00
Fractional coordinates of all 6 atoms:
Ag  0.000  0.000  0.000
Ag  0.333  0.667  0.667
Ag  0.667  0.333  0.333
W  0.000  0.000  0.500
W  0.333  0.667  0.167
W  0.667  0.333  0.833

=====

Stability ranking, top and bottom: ii is the most stable and i is the least stable.

=====

i | FeMo2Cl | PBE | relaxed

Output
Its space group is Pmmm (47).

Lattice parameters (Å, degrees): 2.926 4.512 4.597 90.00 90.00 90.00
Fractional coordinates of all 4 atoms:
Fe  0.000  0.000  0.000
Mo  0.000  0.500  0.500
Mo  0.500  0.500  0.000
Cl  0.500  0.000  0.500

=====

ii | FeMo2Cl | PBE | relaxed

Output
Its space group is I-42d (122).

Lattice parameters (Å, degrees): 5.343 5.343 10.692 90.00 90.00 90.00
Fractional coordinates of all 16 atoms:
Fe  0.000  0.000  0.000
Fe  0.000  0.500  0.250
Fe  0.500  0.000  0.750
Fe  0.500  0.500  0.500
Mo  0.227  0.250  0.125
Mo  0.250  0.727  0.375
Mo  0.250  0.773  0.875
Mo  0.273  0.250  0.625
Mo  0.727  0.750  0.625
Mo  0.750  0.227  0.875
Mo  0.750  0.273  0.375
Mo  0.773  0.750  0.125
Cl  0.000  0.000  0.500
Cl  0.000  0.500  0.750
Cl  0.500  0.000  0.250
Cl  0.500  0.500  0.000

=====

Stability ranking, top and bottom: i is the most stable and ii is the least stable.

=====

i | Cu2ReAg | PBE | relaxed

Output
Its space group is R-3m (166).

Lattice parameters (Å, degrees): 2.740 2.740 26.566 90.00 90.00 120.00
Fractional coordinates of all 12 atoms:
Cu  0.000  0.000  0.247
Cu  0.000  0.000  0.753
Cu  0.333  0.667  0.419
Cu  0.333  0.667  0.914
Cu  0.667  0.333  0.086
Cu  0.667  0.333  0.581
Re  0.000  0.000  0.500
Re  0.333  0.667  0.167
Re  0.667  0.333  0.833
Ag  0.000  0.000  0.000
Ag  0.333  0.667  0.667
Ag  0.667  0.333  0.333

=====

ii | Cu2ReAg | PBE | relaxed

Output
Its space group is I-4m2 (119).

Lattice parameters (Å, degrees): 3.836 3.836 7.772 90.00 90.00 90.00
Fractional coordinates of all 8 atoms:
Cu  0.000  0.000  0.000
Cu  0.000  0.500  0.250
Cu  0.500  0.000  0.750
Cu  0.500  0.500  0.500
Re  0.000  0.500  0.750
Re  0.500  0.000  0.250
Ag  0.000  0.000  0.500
Ag  0.500  0.500  0.000

=====

Stability ranking, top and bottom: i is the most stable and ii is the least stable.